[1]
Here is a relaxed Sm3ErRh crystal from Alexandria via LeMat-Bulk. Energies are from PBE.

The total magnetization is 0.089 μB/f.u. As for the total DFT energy (no corrections): -5.341 eV per atom. The formation energy comes out at -12.3 kJ per mole of atoms. Its calculated density is 7.19 g cm⁻³.

The structure belongs to space group Pm-3m (No. 221); the cell edges are 5.503, 5.503 and 5.503 Å and the angles 90.00°, 90.00° and 90.00°. The distinct sites, in fractional coordinates, are Sm at (0.000, 0.000, 0.500), Er at (0.500, 0.500, 0.500) and Rh at (0.000, 0.000, 0.000).

[2]
Here is a relaxed NpCuGe crystal from Alexandria via LeMat-Bulk. Energies are from PBE.

The total magnetization is 4.214 μB/f.u. As for the total DFT energy (no corrections): -7.084 eV per atom. The formation energy comes out at 12.9 kJ per mole of atoms. Its calculated density is 11.50 g cm⁻³.

The structure belongs to space group I4mm (No. 107); the cell edges are 3.063, 3.063 and 11.488 Å and the angles 90.00°, 90.00° and 90.00°. The distinct sites, in fractional coordinates, are Np at (0.000, 0.000, 0.000), Cu at (0.000, 0.000, 0.685) and Ge at (0.000, 0.000, 0.306).

Which value of total magnetization does entry 2 give?
4.214 μB/f.u.

Among the records above, which one has the highest calculated density?
NpCuGe

The lowest total DFT energy (no corrections) belongs to which entry?
NpCuGe